1.
Density functional theory data (PBE) for a relaxed structure of Cs2RbRuBr6.

Unit cell a=8.185 b=8.185 c=8.185 alpha=60.00 beta=60.00 gamma=90.00
Element x y z (fractional)
Br 0.781 0.219 0.000
Cs 0.750 0.250 0.500
Cs 0.250 0.750 0.500
Ru 0.000 0.000 0.000
Br 0.781 0.781 0.437
Br 0.781 0.781 0.000
Br 0.219 0.219 0.000
Br 0.219 0.781 0.000
Rb 0.500 0.500 0.000
Br 0.219 0.219 0.563

Computed properties:
- M_tot (μB per cell) = 1.00
- formation energy from raw total energies (eV per atom) = -1.145
- mass density (kg/m3) = 3990

2.
Density functional theory data (PBE) for a relaxed structure of Cs2RbSBr.

Unit cell a=6.685 b=6.685 c=6.287 alpha=90.00 beta=90.00 gamma=90.00
Element x y z (fractional)
Br 0.500 0.500 0.500
Cs 0.000 0.500 0.000
Cs 0.500 0.000 0.000
S 0.000 0.000 0.000
Rb 0.000 0.000 0.500

Computed properties:
- M_tot (μB per cell) = 0.00
- energy relative to the lowest polymorph listed for this composition (meV per atom) = 105
- formation energy from raw total energies (eV per atom) = -1.174
- mass density (kg/m3) = 2738

3.
Density functional theory data (PBE) for a relaxed structure of Cs2RbSBr6.

Unit cell a=8.123 b=8.123 c=8.590 alpha=61.78 beta=61.78 gamma=90.00
Element x y z (fractional)
Br 0.256 0.256 0.488
S 0.500 0.500 0.000
Rb 0.000 0.000 0.000
Cs 0.250 0.750 0.500
Br 0.716 0.284 0.000
Cs 0.750 0.250 0.500
Br 0.716 0.716 0.000
Br 0.744 0.744 0.512
Br 0.284 0.284 0.000
Br 0.284 0.716 0.000

Computed properties:
- M_tot (μB per cell) = 1.00
- formation energy from raw total energies (eV per atom) = -0.961
- mass density (kg/m3) = 3400

4.
Density functional theory data (PBE) for a relaxed structure of CsRb2SBr.

Unit cell a=6.307 b=6.307 c=6.695 alpha=90.00 beta=90.00 gamma=90.00
Element x y z (fractional)
Cs 0.000 0.000 0.500
Rb 0.000 0.500 0.000
Br 0.500 0.500 0.500
S 0.000 0.000 0.000
Rb 0.500 0.000 0.000

Computed properties:
- M_tot (μB per cell) = 0.00
- formation energy from raw total energies (eV per atom) = -1.170
- mass density (kg/m3) = 2593

5.
Density functional theory data (PBE) for a relaxed structure of Cs2RbSBr.

Unit cell a=5.011 b=8.524 c=11.744 alpha=90.00 beta=90.00 gamma=107.10
Element x y z (fractional)
Cs 0.634 0.268 0.944
Rb 0.082 0.165 0.250
Br 0.733 0.467 0.250
Rb 0.918 0.835 0.750
Cs 0.366 0.732 0.056
S 0.000 0.000 0.000
Br 0.267 0.533 0.750
Cs 0.366 0.732 0.444
S 0.000 0.000 0.500
Cs 0.634 0.268 0.556

Computed properties:
- M_tot (μB per cell) = 0.10
- energy relative to the lowest polymorph listed for this composition (meV per atom) = 0
- formation energy from raw total energies (eV per atom) = -1.278
- mass density (kg/m3) = 3209

6.
Density functional theory data (PBE) for a relaxed structure of Cs2RbSbBr6.

Unit cell a=8.335 b=8.774 c=12.017 alpha=90.00 beta=90.35 gamma=90.00
Element x y z (fractional)
Br 0.671 0.272 0.551
Br 0.277 0.678 0.046
Br 0.723 0.322 0.954
Br 0.906 0.526 0.226
Br 0.594 0.026 0.274
Br 0.094 0.474 0.774
Br 0.223 0.178 0.454
Br 0.777 0.822 0.546
Sb 0.500 0.000 0.500
Br 0.829 0.772 0.949
Br 0.329 0.728 0.449
Cs 0.477 0.430 0.252
Rb 0.500 0.000 0.000
Br 0.406 0.974 0.726
Rb 0.000 0.500 0.500
Cs 0.523 0.570 0.748
Br 0.171 0.228 0.051
Sb 0.000 0.500 0.000
Cs 0.023 0.930 0.248
Cs 0.977 0.070 0.752

Computed properties:
- M_tot (μB per cell) = 0.00
- energy relative to the lowest polymorph listed for this composition (meV per atom) = 0
- formation energy from raw total energies (eV per atom) = -1.352
- mass density (kg/m3) = 3600

7.
Density functional theory data (PBE) for a relaxed structure of CsRbSbBr6.

Unit cell a=8.289 b=8.289 c=7.344 alpha=90.00 beta=90.00 gamma=60.00
Element x y z (fractional)
Sb 0.333 0.333 0.500
Br 0.065 0.599 0.716
Br 0.599 0.065 0.284
Cs 0.000 0.000 0.000
Rb 0.667 0.667 0.500
Br 0.336 0.065 0.716
Br 0.599 0.336 0.716
Br 0.065 0.336 0.284
Br 0.336 0.599 0.283

Computed properties:
- M_tot (μB per cell) = 0.00
- formation energy from raw total energies (eV per atom) = -1.051
- mass density (kg/m3) = 3115

8.
Density functional theory data (PBE) for a relaxed structure of Cs2RbSbBr6.

Unit cell a=8.612 b=8.612 c=8.612 alpha=60.00 beta=60.00 gamma=60.00
Element x y z (fractional)
Br 0.231 0.231 0.769
Br 0.769 0.231 0.231
Cs 0.250 0.250 0.250
Sb 0.000 0.000 0.000
Cs 0.750 0.750 0.750
Br 0.231 0.769 0.231
Br 0.769 0.231 0.769
Br 0.231 0.769 0.769
Rb 0.500 0.500 0.500
Br 0.769 0.769 0.231

Computed properties:
- M_tot (μB per cell) = 0.00
- energy relative to the lowest polymorph listed for this composition (meV per atom) = 29
- formation energy from raw total energies (eV per atom) = -1.323
- mass density (kg/m3) = 3502

9.
Density functional theory data (PBE) for a relaxed structure of CsRb2SbBr6.

Unit cell a=8.270 b=8.826 c=11.867 alpha=90.00 beta=90.02 gamma=90.00
Element x y z (fractional)
Br 0.154 0.232 0.081
Br 0.638 0.060 0.285
Rb 0.469 0.420 0.248
Rb 0.031 0.920 0.252
Sb 0.000 0.500 0.000
Br 0.862 0.560 0.215
Br 0.275 0.671 0.063
Rb 0.531 0.580 0.752
Sb 0.500 0.000 0.500
Br 0.775 0.829 0.563
Cs 0.000 0.500 0.500
Rb 0.969 0.080 0.748
Br 0.725 0.329 0.937
Cs 0.500 0.000 0.000
Br 0.362 0.940 0.715
Br 0.654 0.268 0.581
Br 0.225 0.171 0.437
Br 0.846 0.768 0.919
Br 0.138 0.440 0.785
Br 0.346 0.732 0.419

Computed properties:
- M_tot (μB per cell) = 0.00
- energy relative to the lowest polymorph listed for this composition (meV per atom) = 0
- formation energy from raw total energies (eV per atom) = -1.328
- mass density (kg/m3) = 3470

10.
Density functional theory data (PBE) for a relaxed structure of CsRb2SbBr6.

Unit cell a=8.765 b=8.765 c=8.765 alpha=60.00 beta=60.00 gamma=90.00
Element x y z (fractional)
Sb 0.500 0.500 0.000
Br 0.273 0.273 0.454
Br 0.727 0.727 0.000
Rb 0.750 0.250 0.500
Cs 0.000 0.000 0.000
Br 0.273 0.273 0.000
Br 0.727 0.727 0.546
Rb 0.250 0.750 0.500
Br 0.727 0.273 0.000
Br 0.273 0.727 0.000

Computed properties:
- M_tot (μB per cell) = 0.00
- energy relative to the lowest polymorph listed for this composition (meV per atom) = 80
- formation energy from raw total energies (eV per atom) = -1.248
- mass density (kg/m3) = 3156

11.
Density functional theory data (PBE) for a relaxed structure of CsRb2SbBr8.

Unit cell a=6.506 b=8.263 c=10.195 alpha=92.77 beta=80.09 gamma=113.20
Element x y z (fractional)
Sb 0.000 0.000 0.000
Br 0.020 0.247 0.825
Cs 0.000 0.000 0.500
Br 0.417 0.207 0.038
Br 0.622 0.312 0.428
Br 0.836 0.150 0.202
Br 0.980 0.753 0.175
Rb 0.365 0.540 0.254
Rb 0.635 0.460 0.746
Br 0.164 0.850 0.798
Br 0.583 0.793 0.962
Br 0.378 0.688 0.572

Computed properties:
- M_tot (μB per cell) = 0.00
- formation energy from raw total energies (eV per atom) = -1.069
- mass density (kg/m3) = 3564

Which formula does entry 2 have?
Cs2RbSBr